(1)
{"formula": "Tb2Dy2Bi3", "functional": "PBE-GGA", "state": "relaxed", "e_tot_ev_per_atom": -4.891, "volume_a3_per_fu": 235, "cell": [[7.133, -2.225, 0.000], [7.133, 2.225, 0.000], [-1.176, 0.000, 7.399]], "species": ["Tb", "Tb", "Dy", "Dy", "Bi", "Bi", "Bi"], "fractional_positions": [[0.123, 0.123, 0.358], [0.877, 0.877, 0.642], [0.383, 0.383, 0.111], [0.617, 0.617, 0.889], [0.240, 0.240, 0.751], [0.500, 0.500, 0.500], [0.760, 0.760, 0.249]]}

---

(2)
{"formula": "BaLa3Sn", "functional": "PBE-GGA", "state": "relaxed", "polymorph_energy_kcal_per_mol_atoms": 14.50, "volume_a3_per_fu": 199, "cell": [[5.840, 0.000, 0.000], [0.000, 5.840, 0.000], [0.000, 0.000, 5.840]], "species": ["Ba", "La", "La", "La", "Sn"], "fractional_positions": [[0.000, 0.000, 0.000], [0.000, 0.000, 0.500], [0.000, 0.500, 0.000], [0.500, 0.000, 0.000], [0.500, 0.500, 0.500]]}

---

(3)
{"formula": "CsPa2Ag2Se6", "functional": "PBE-GGA", "state": "relaxed", "e_form_raw_ev_per_atom": -0.972, "volume_a3_per_fu": 367, "cell": [[7.683, 0.000, 0.000], [3.705, 6.776, 0.000], [3.442, 1.950, 7.042]], "species": ["Cs", "Pa", "Pa", "Ag", "Ag", "Se", "Se", "Se", "Se", "Se", "Se"], "fractional_positions": [[0.000, 0.000, 0.000], [0.333, 0.338, 0.993], [0.667, 0.662, 0.007], [0.428, 0.695, 0.558], [0.572, 0.305, 0.442], [0.072, 0.650, 0.768], [0.324, 0.540, 0.226], [0.489, 0.058, 0.771], [0.511, 0.942, 0.229], [0.676, 0.460, 0.774], [0.928, 0.350, 0.232]]}

---

Calculated values (states/eV/f.u.) of Fermi-level density of states for the records, taken in order: 3.42, 5.97, 7.58.